[1]
DFT (PBE) results for crystalline LiPaP at its relaxed geometry.

Cell: 3.9296 3.9684 3.9684 Å, 120.00 90.00 90.00°
With the nearest neighbours (Å) after each atom.
Fractional positions:
P 0.1668 0.0000 0.0000  3 Li 2.29
Pa 0.6667 0.6667 0.3333  6 Li 3.02, 6 P 3.02
Li 0.1665 0.3333 0.6667  3 P 2.29

Results
* space-group type: No. 187
* formation energy: -0.621 eV per atom
* excess energy over the best structure of this formula in the dataset: 0.113 eV per formula unit
* E_tot: -6.227 eV/atom
* density of states at the Fermi level: 1.408 states/eV/atom


[2]
DFT (PBE) results for crystalline LiPaP at its relaxed geometry.

Cell: 3.7904 3.7904 4.8261 Å, 113.12 113.12 90.00°
With the nearest neighbours (Å) after each atom.
Fractional positions:
P 0.2647 0.2647 0.5295  1 Li 2.42
Pa 0.6217 0.6217 0.2433  5 Li 2.74-2.97, 5 P 2.87-2.92
Li 0.9636 0.9636 0.9272  1 P 2.42

Results
* space-group type: No. 107
* formation energy: -0.204 eV per atom
* excess energy over the best structure of this formula in the dataset: 1.365 eV per formula unit
* E_tot: -5.810 eV/atom
* density of states at the Fermi level: 1.379 states/eV/atom


[3]
DFT (PBE) results for crystalline LiPaP2Pd at its relaxed geometry.

Cell: 3.9517 7.0756 8.0850 Å, 97.86 90.00 106.22°
With the nearest neighbours (Å) after each atom.
Fractional positions:
Li 0.0592 0.1184 0.1808  4 P 2.51-2.75, 2 Pd 2.81
Li 0.9408 0.8816 0.8192  4 P 2.51-2.75, 2 Pd 2.81
Pa 0.3046 0.6092 0.3140  5 P 2.68-2.81
Pa 0.6954 0.3908 0.6860  5 P 2.68-2.81
P 0.3382 0.6764 0.6491  1 Pd 2.42, 2 Li 2.68, 1 Pa 2.68
P 0.6618 0.3236 0.3509  1 Pd 2.42, 2 Li 2.68, 1 Pa 2.68
P 0.1275 0.2551 0.8762  3 Pd 2.49-2.64, 2 Li 2.51-2.75, 2 Pa 2.74
P 0.8725 0.7449 0.1238  3 Pd 2.49-2.64, 2 Li 2.51-2.75, 2 Pa 2.74
Pd 0.6762 0.3525 0.0564  4 P 2.42-2.64
Pd 0.3238 0.6475 0.9436  4 P 2.42-2.64

Results
* space-group type: No. 12
* formation energy: -0.726 eV per atom
* E_tot: -6.210 eV/atom
* density of states at the Fermi level: 0.021 states/eV/atom


[4]
DFT (PBE) results for crystalline LiPm3Pa2P6 at its relaxed geometry.

Cell: 6.9879 6.9879 7.0265 Å, 99.54 99.54 119.95°
With the nearest neighbours (Å) after each atom.
Fractional positions:
Li 0.0000 0.0000 0.0000  6 P 2.86
Pm 0.1639 0.8361 0.5000  6 P 2.89-2.94
Pm 0.8361 0.1639 0.5000  6 P 2.89-2.94
Pm 0.5000 0.5000 0.5000  6 P 2.86-2.94
Pa 0.3328 0.6672 0.0000  6 P 2.78-2.79
Pa 0.6672 0.3328 0.0000  6 P 2.78-2.79
P 0.9212 0.5793 0.7645  2 Pa 2.78, 1 Li 2.86, 3 Pm 2.89-2.94
P 0.7366 0.7366 0.2361  2 Pa 2.79, 1 Li 2.86, 3 Pm 2.86-2.92
P 0.0788 0.4207 0.2355  2 Pa 2.78, 1 Li 2.86, 3 Pm 2.89-2.94
P 0.5793 0.9212 0.7645  2 Pa 2.78, 1 Li 2.86, 3 Pm 2.89-2.94
P 0.2634 0.2634 0.7639  2 Pa 2.79, 1 Li 2.86, 3 Pm 2.86-2.92
P 0.4207 0.0788 0.2355  2 Pa 2.78, 1 Li 2.86, 3 Pm 2.89-2.94

Results
* space-group type: No. 12
* formation energy: -1.286 eV per atom
* E_tot: -6.920 eV/atom
* density of states at the Fermi level: 0.464 states/eV/atom


[5]
DFT (PBE) results for crystalline LiPuPa2P4 at its relaxed geometry.

Cell: 4.0229 6.9204 6.7609 Å, 110.21 90.00 90.00°
With the nearest neighbours (Å) after each atom.
Fractional positions:
Li 0.5000 0.5000 0.0000  6 P 2.81-2.84
Pu 0.0000 0.0000 0.0000  6 P 2.82-2.84
Pa 0.5000 0.0000 0.5000  6 P 2.78-2.80
Pa 0.0000 0.5000 0.5000  6 P 2.77-2.79
P 0.5000 0.2520 0.2535  3 Pa 2.79-2.80, 1 Li 2.81, 2 Pu 2.82
P 0.5000 0.7480 0.7465  3 Pa 2.79-2.80, 1 Li 2.81, 2 Pu 2.82
P 0.0000 0.2477 0.7407  3 Pa 2.77-2.78, 2 Li 2.84, 1 Pu 2.84
P 0.0000 0.7523 0.2593  3 Pa 2.77-2.78, 2 Li 2.84, 1 Pu 2.84

Results
* space-group type: No. 10
* formation energy: -1.033 eV per atom
* E_tot: -8.143 eV/atom
* density of states at the Fermi level: 1.675 states/eV/atom


[6]
DFT (PBE) results for crystalline Li2Pa3P4Ru2 at its relaxed geometry.

Cell: 4.0898 4.0898 14.1560 Å, 90.00 90.00 120.00°
With the nearest neighbours (Å) after each atom.
Fractional positions:
Li 0.6667 0.3333 0.4418  4 P 2.55-2.62
Li 0.3333 0.6667 0.5582  4 P 2.55-2.62
Pa 0.0000 0.0000 0.7380  6 P 2.84-2.87, 3 Ru 3.10
Pa 0.0000 0.0000 0.0000  6 Ru 2.91, 6 P 3.14
Pa 0.0000 0.0000 0.2620  6 P 2.84-2.87, 3 Ru 3.10
P 0.6667 0.3333 0.1467  3 Ru 2.39
P 0.3333 0.6667 0.8533  3 Ru 2.39
P 0.6667 0.3333 0.6267  4 Li 2.55-2.62, 3 Pa 2.84
P 0.3333 0.6667 0.3733  4 Li 2.55-2.62, 3 Pa 2.84
Ru 0.6667 0.3333 0.8802  3 P 2.39
Ru 0.3333 0.6667 0.1198  3 P 2.39

Results
* space-group type: No. 164
* formation energy: -0.982 eV per atom
* E_tot: -7.573 eV/atom
* density of states at the Fermi level: 0.616 states/eV/atom


[7]
DFT (PBE) results for crystalline LiScPa2P4 at its relaxed geometry.

Cell: 3.9575 6.4677 6.8825 Å, 69.37 90.00 90.00°
With the nearest neighbours (Å) after each atom.
Fractional positions:
Li 0.0000 0.5000 0.5000  6 P 2.72-2.74
Sc 0.5000 0.5000 0.0000  6 P 2.71-2.72
Pa 0.0000 0.0000 0.0000  6 P 2.75-2.77
Pa 0.5000 0.0000 0.5000  6 P 2.77-2.78
P 0.0000 0.7403 0.7542  2 Sc 2.71, 1 Li 2.72, 3 Pa 2.77-2.78
P 0.0000 0.2597 0.2458  2 Sc 2.71, 1 Li 2.72, 3 Pa 2.77-2.78
P 0.5000 0.7454 0.2492  1 Sc 2.72, 2 Li 2.74, 3 Pa 2.75-2.77
P 0.5000 0.2546 0.7508  1 Sc 2.72, 2 Li 2.74, 3 Pa 2.75-2.77

Results
* space-group type: No. 10
* formation energy: -1.116 eV per atom
* E_tot: -7.226 eV/atom
* density of states at the Fermi level: 0.588 states/eV/atom


[8]
DFT (PBE) results for crystalline LiSm2PaP4 at its relaxed geometry.

Cell: 4.0903 6.8655 6.9832 Å, 108.75 90.00 90.00°
With the nearest neighbours (Å) after each atom.
Fractional positions:
Li 0.5000 0.5000 0.0000  6 P 2.77-2.88
Sm 0.5000 0.0000 0.5000  6 P 2.86-2.87
Sm 0.0000 0.5000 0.5000  6 P 2.93
Pa 0.0000 0.0000 0.0000  6 P 2.70-2.82
P 0.5000 0.2438 0.2364  1 Li 2.77, 2 Pa 2.82, 3 Sm 2.86-2.93
P 0.5000 0.7562 0.7636  1 Li 2.77, 2 Pa 2.82, 3 Sm 2.86-2.93
P 0.0000 0.2393 0.7596  1 Pa 2.70, 3 Sm 2.87-2.93, 2 Li 2.88
P 0.0000 0.7607 0.2404  1 Pa 2.70, 3 Sm 2.87-2.93, 2 Li 2.88

Results
* space-group type: No. 10
* formation energy: -1.149 eV per atom
* E_tot: -6.460 eV/atom
* density of states at the Fermi level: 0.319 states/eV/atom


[9]
DFT (PBE) results for crystalline LiSm3Pa2P6 at its relaxed geometry.

Cell: 6.9662 6.9662 7.0018 Å, 99.54 99.54 119.95°
With the nearest neighbours (Å) after each atom.
Fractional positions:
Li 0.0000 0.0000 0.0000  6 P 2.85
Sm 0.1640 0.8360 0.5000  6 P 2.88-2.93
Sm 0.8360 0.1640 0.5000  6 P 2.88-2.93
Sm 0.5000 0.5000 0.5000  6 P 2.85-2.92
Pa 0.3328 0.6672 0.0000  6 P 2.78-2.79
Pa 0.6672 0.3328 0.0000  6 P 2.78-2.79
P 0.9207 0.5794 0.7630  2 Pa 2.78, 1 Li 2.85, 3 Sm 2.88-2.93
P 0.7377 0.7377 0.2379  2 Pa 2.79, 3 Sm 2.85-2.90, 1 Li 2.85
P 0.0793 0.4206 0.2370  2 Pa 2.78, 1 Li 2.85, 3 Sm 2.88-2.93
P 0.5794 0.9207 0.7630  2 Pa 2.78, 1 Li 2.85, 3 Sm 2.88-2.93
P 0.2623 0.2623 0.7621  2 Pa 2.79, 3 Sm 2.85-2.90, 1 Li 2.85
P 0.4206 0.0793 0.2370  2 Pa 2.78, 1 Li 2.85, 3 Sm 2.88-2.93

Results
* space-group type: No. 12
* formation energy: -1.291 eV per atom
* E_tot: -6.918 eV/atom
* density of states at the Fermi level: 0.469 states/eV/atom


[10]
DFT (PBE) results for crystalline LiTb2PaP4 at its relaxed geometry.

Cell: 4.0437 6.7726 6.9210 Å, 108.60 90.00 90.00°
With the nearest neighbours (Å) after each atom.
Fractional positions:
Li 0.5000 0.5000 0.0000  6 P 2.75-2.86
Tb 0.5000 0.0000 0.5000  6 P 2.81-2.83
Tb 0.0000 0.5000 0.5000  6 P 2.87-2.88
Pa 0.0000 0.0000 0.0000  6 P 2.69-2.81
P 0.5000 0.2470 0.2411  1 Li 2.75, 2 Pa 2.81, 3 Tb 2.81-2.88
P 0.5000 0.7530 0.7589  1 Li 2.75, 2 Pa 2.81, 3 Tb 2.81-2.88
P 0.0000 0.2395 0.7551  1 Pa 2.69, 3 Tb 2.83-2.87, 2 Li 2.86
P 0.0000 0.7605 0.2449  1 Pa 2.69, 3 Tb 2.83-2.87, 2 Li 2.86

Results
* space-group type: No. 10
* formation energy: -1.178 eV per atom
* E_tot: -6.467 eV/atom
* density of states at the Fermi level: 0.295 states/eV/atom


[11]
DFT (PBE) results for crystalline LiTmPa2P4 at its relaxed geometry.

Cell: 3.9935 6.9196 6.6677 Å, 110.14 90.00 90.00°
With the nearest neighbours (Å) after each atom.
Fractional positions:
Li 0.5000 0.5000 0.0000  6 P 2.78-2.81
Tm 0.0000 0.0000 0.0000  6 P 2.79-2.81
Pa 0.5000 0.0000 0.5000  6 P 2.77-2.79
Pa 0.0000 0.5000 0.5000  6 P 2.77-2.78
P 0.5000 0.2518 0.2504  1 Li 2.78, 3 Pa 2.78-2.79, 2 Tm 2.79
P 0.5000 0.7482 0.7496  1 Li 2.78, 3 Pa 2.78-2.79, 2 Tm 2.79
P 0.0000 0.2482 0.7444  3 Pa 2.77, 1 Tm 2.81, 2 Li 2.81
P 0.0000 0.7518 0.2556  3 Pa 2.77, 1 Tm 2.81, 2 Li 2.81

Results
* space-group type: No. 10
* formation energy: -1.142 eV per atom
* E_tot: -7.019 eV/atom
* density of states at the Fermi level: 0.633 states/eV/atom


[12]
DFT (PBE) results for crystalline LiTm2PaP4 at its relaxed geometry.

Cell: 3.9992 6.6800 6.8527 Å, 108.48 90.00 90.00°
With the nearest neighbours (Å) after each atom.
Fractional positions:
Li 0.5000 0.5000 0.0000  6 P 2.72-2.84
Tm 0.5000 0.0000 0.5000  6 P 2.77-2.79
Tm 0.0000 0.5000 0.5000  6 P 2.80-2.82
Pa 0.0000 0.0000 0.0000  6 P 2.69-2.80
P 0.5000 0.2505 0.2458  1 Li 2.72, 3 Tm 2.77-2.82, 2 Pa 2.80
P 0.5000 0.7495 0.7542  1 Li 2.72, 3 Tm 2.77-2.82, 2 Pa 2.80
P 0.0000 0.2397 0.7505  1 Pa 2.69, 3 Tm 2.79-2.80, 2 Li 2.84
P 0.0000 0.7603 0.2495  1 Pa 2.69, 3 Tm 2.79-2.80, 2 Li 2.84

Results
* space-group type: No. 10
* formation energy: -1.184 eV per atom
* E_tot: -6.433 eV/atom
* density of states at the Fermi level: 0.255 states/eV/atom